Material: PuCr2SiO8
Method: DFT, PBE with a Hubbard U
State: relaxed

a b c (Å): 6.420 6.457 6.184
angles (deg): 90.00 90.00 90.00
Space group Cmmm (No. 65)
Unique sites:
Pu  0.000  0.000  0.000 x2
Cr  0.000  0.500  0.270 x4
Si  0.000  0.000  0.500 x2
O  0.000  0.188  0.283 x8
O  0.186  0.500  0.000 x4
O  0.213  0.500  0.500 x4

Calculated values
crystal system = orthorhombic
final energy = -202.083 eV/cell